# TiAlN2F | the Alexandria database | PBE | relaxed
# **Formation energy (no corrections)**: -0.873 eV/atom
# **E**: -6.91 eV per atom
# **SG**: P4/mmm (123)
# **Crystal system**: tetragonal
data_TiAlN2F
_cell_length_a 3.804
_cell_length_b 3.804
_cell_length_c 3.442
_cell_angle_alpha 90.00
_cell_angle_beta 90.00
_cell_angle_gamma 90.00
_space_group_name_H-M_alt 'P 1'
_space_group_IT_number 1
_space_group_name_Hall 'P 1'
loop_
_atom_site_label
_atom_site_fract_x
_atom_site_fract_y
_atom_site_fract_z
_atom_site_occupancy
Ti1 0.000 0.000 0.000 1
Al1 0.500 0.500 0.500 1
N1 0.000 0.500 0.500 1
N2 0.500 0.000 0.500 1
F1 0.500 0.500 0.000 1